# 1
A plane-wave DFT calculation with GGA-PBE was carried out for an optimized crystal structure of CaNdTlCl6.

Cell lengths 7.2545, 7.2545, 13.7180 Å; angles 90.00, 90.00, 120.00 degrees
With the nearest neighbours (Å) after each atom.
Fractional positions:
1 Ca 0.3333 0.6667 0.2500  6 Cl 2.76
2 Ca 0.6667 0.3333 0.7500  6 Cl 2.76
3 Nd 0.3333 0.6667 0.7500  6 Cl 2.76
4 Nd 0.6667 0.3333 0.2500  6 Cl 2.76
5 Tl 0.0000 0.0000 0.0000  6 Cl 3.29
6 Tl 0.0000 0.0000 0.5000  6 Cl 3.29
7 Cl 0.9997 0.3711 0.1382  1 Nd 2.76, 1 Ca 2.76
8 Cl 0.0003 0.3714 0.6382  1 Nd 2.76, 1 Ca 2.76
9 Cl 0.9997 0.6286 0.3618  1 Nd 2.76, 1 Ca 2.76
10 Cl 0.0003 0.6289 0.8618  1 Nd 2.76, 1 Ca 2.76
11 Cl 0.3714 0.0003 0.1382  1 Nd 2.76, 1 Ca 2.76
12 Cl 0.3711 0.9997 0.6382  1 Nd 2.76, 1 Ca 2.76
13 Cl 0.3714 0.3711 0.3618  1 Nd 2.76, 1 Ca 2.76
14 Cl 0.3711 0.3714 0.8618  1 Nd 2.76, 1 Ca 2.76
15 Cl 0.6289 0.0003 0.3618  1 Nd 2.76, 1 Ca 2.76
16 Cl 0.6286 0.9997 0.8618  1 Nd 2.76, 1 Ca 2.76
17 Cl 0.6289 0.6286 0.1382  1 Nd 2.76, 1 Ca 2.76
18 Cl 0.6286 0.6289 0.6382  1 Nd 2.76, 1 Ca 2.76

Results
E, eV per formula unit: -38.71
Space-group type: No. 163
Magnetic moment, μB/f.u.: 0.0

# 2
A plane-wave DFT calculation with GGA-PBE was carried out for an optimized crystal structure of ZnAs2W.

Cell lengths 2.8807, 2.8807, 9.7696 Å; angles 90.00, 90.00, 109.76 degrees
With the nearest neighbours (Å) after each atom.
Fractional positions:
1 Zn 0.0000 0.0000 0.0000  4 Zn 2.88
2 As 0.5000 0.5000 0.2925  2 W 2.62, 4 As 2.88
3 As 0.5000 0.5000 0.7075  2 W 2.62, 4 As 2.88
4 W 0.0000 0.0000 0.5000  4 As 2.62, 4 W 2.88

Results
Space-group type: No. 65
Energy of formation, meV/atom: 340.3
Magnetic moment, μB/f.u.: 0.0

# 3
A plane-wave DFT calculation with GGA-PBE was carried out for an optimized crystal structure of Pm8TlIr2.

Cell lengths 8.1559, 8.1559, 5.6254 Å; angles 97.37, 97.37, 114.05 degrees
With the nearest neighbours (Å) after each atom.
Fractional positions:
1 Pm 0.0732 0.3285 0.5663  2 Ir 2.92-2.98
2 Pm 0.2493 0.7507 0.0000  2 Ir 2.91
3 Pm 0.3285 0.0732 0.5663  2 Ir 2.92-2.98
4 Pm 0.3919 0.3919 0.1984  2 Ir 3.19, 4 Pm 3.27-3.48, 1 Tl 3.39
5 Pm 0.6081 0.6081 0.8016  2 Ir 3.19, 4 Pm 3.27-3.48, 1 Tl 3.39
6 Pm 0.6715 0.9268 0.4337  2 Ir 2.92-2.98
7 Pm 0.7507 0.2493 0.0000  2 Ir 2.91
8 Pm 0.9268 0.6715 0.4337  2 Ir 2.92-2.98
9 Tl 0.0000 0.0000 0.0000  12 Pm 3.39-3.77
10 Ir 0.3044 0.6956 0.5000  8 Pm 2.91-3.19
11 Ir 0.6956 0.3044 0.5000  8 Pm 2.91-3.19

Results
Space-group type: No. 12
Energy of formation, meV/atom: -326.2
Magnetic moment, μB/f.u.: 0.0

# 4
A plane-wave DFT calculation with GGA-PBE was carried out for an optimized crystal structure of LiPm2Dy3S6.

Cell lengths 6.8235, 6.8235, 6.8210 Å; angles 99.63, 99.63, 120.14 degrees
With the nearest neighbours (Å) after each atom.
Fractional positions:
1 Li 0.0000 0.0000 0.0000  6 S 2.72-2.74
2 Pm 0.3341 0.6659 0.0000  6 S 2.82-2.84
3 Pm 0.6659 0.3341 0.0000  6 S 2.82-2.84
4 Dy 0.1665 0.8335 0.5000  6 S 2.74-2.83
5 Dy 0.5000 0.5000 0.5000  6 S 2.74-2.85
6 Dy 0.8335 0.1665 0.5000  6 S 2.74-2.83
7 S 0.0847 0.4073 0.2550  3 Dy 2.74-2.83, 1 Li 2.74, 2 Pm 2.83-2.84
8 S 0.2366 0.2366 0.7482  1 Li 2.72, 3 Dy 2.74-2.85, 2 Pm 2.82
9 S 0.4073 0.0847 0.2550  3 Dy 2.74-2.83, 1 Li 2.74, 2 Pm 2.83-2.84
10 S 0.5927 0.9153 0.7450  3 Dy 2.74-2.83, 1 Li 2.74, 2 Pm 2.83-2.84
11 S 0.7634 0.7634 0.2518  1 Li 2.72, 3 Dy 2.74-2.85, 2 Pm 2.82
12 S 0.9153 0.5927 0.7450  3 Dy 2.74-2.83, 1 Li 2.74, 2 Pm 2.83-2.84

Results
E, eV per formula unit: -73.56
Space-group type: No. 12
Magnetic moment, μB/f.u.: 0.0

# 5
A plane-wave DFT calculation with GGA-PBE was carried out for an optimized crystal structure of Na2Ge4Ir3Pd.

Cell lengths 4.1890, 4.1890, 10.3886 Å; angles 90.00, 90.00, 90.00 degrees
With the nearest neighbours (Å) after each atom.
Fractional positions:
1 Na 0.0000 0.5000 0.2469  8 Ge 3.19-3.36, 6 Ir 3.22-3.31, 2 Pd 3.31
2 Na 0.5000 0.0000 0.7531  8 Ge 3.19-3.36, 6 Ir 3.22-3.31, 2 Pd 3.31
3 Ge 0.0000 0.0000 0.5000  4 Ir 2.50
4 Ge 0.0000 0.5000 0.8678  3 Ir 2.46-2.50, 2 Pd 2.50
5 Ge 0.5000 0.0000 0.1322  3 Ir 2.46-2.50, 2 Pd 2.50
6 Ge 0.5000 0.5000 0.5000  4 Ir 2.50
7 Ir 0.0000 0.0000 0.0000  4 Ge 2.50
8 Ir 0.0000 0.5000 0.6310  5 Ge 2.46-2.50
9 Ir 0.5000 0.0000 0.3690  5 Ge 2.46-2.50
10 Pd 0.5000 0.5000 0.0000  4 Ge 2.50

Results
Space-group type: No. 115
Energy of formation, meV/atom: -334.3
Magnetic moment, μB/f.u.: 0.0

# 6
A plane-wave DFT calculation with GGA-PBE was carried out for an optimized crystal structure of LaCdGa.

Cell lengths 5.1083, 5.1083, 5.1083 Å; angles 60.00, 60.00, 60.00 degrees
With the nearest neighbours (Å) after each atom.
Fractional positions:
1 La 0.0000 0.0000 0.0000  4 Cd 3.13, 4 Ga 3.13
2 Cd 0.7500 0.7500 0.7500  4 La 3.13
3 Ga 0.2500 0.2500 0.2500  4 La 3.13

Results
Space-group type: No. 216
Energy of formation, meV/atom: 10.8
Magnetic moment, μB/f.u.: 0.0